A plane-wave DFT calculation with PBE with a Hubbard U was carried out for a relaxed AcTaMn2O8 crystal.

Results
Fermi-level density of states = 0.39 states/eV/atom
magnetic moment = 6.00 μB per formula unit
calculated total energy = -7.841 eV/atom
space group = No. 119

extended XYZ file:
```
12
Lattice="-3.584 3.584 3.206 3.584 -3.584 3.206 3.584 3.584 -3.206" Properties=species:S:1:pos:R:3 pbc="T T T"
Ac 0.000 0.000 0.000
Ta 0.000 3.584 1.603
Mn 3.584 0.000 1.603
Mn 0.000 0.000 3.206
O 2.427 0.000 0.218
O 4.741 0.000 0.218
O 3.584 2.064 -1.087
O 3.584 -1.157 2.988
O 0.000 1.520 2.120
O 3.584 1.157 2.988
O 2.064 3.584 1.087
O 1.520 0.000 4.293
```